# 1
Density functional theory data (GGA-PBE) for a geometry-optimized PrSm3Pu2Se6 structure.

Properties
For the raw formation energy, the calculation gives -1.745 eV/atom. For the density of states at the Fermi level, the calculation gives 39.6 states/eV/cell.

CIF file:
```
data_PrSm3Pu2Se6
_space_group_name_H-M_alt 'C 1 2/m 1'
_space_group_IT_number 12
_cell_length_a 7.222
_cell_length_b 12.520
_cell_length_c 7.260
_cell_angle_alpha 90.00
_cell_angle_beta 109.37
_cell_angle_gamma 90.00
loop_
_space_group_symop_operation_xyz
'x,y,z'
'-x,-y,-z'
'-x,y,-z'
'x,-y,z'
'x+1/2,y+1/2,z'
'-x+1/2,-y+1/2,-z'
'-x+1/2,y+1/2,-z'
'x+1/2,-y+1/2,z'
loop_
_atom_site_label
_atom_site_fract_x
_atom_site_fract_y
_atom_site_fract_z
Pr1 0.000 0.000 0.000
Sm1 0.000 0.164 0.500
Sm2 0.000 0.500 0.500
Pu1 0.000 0.333 0.000
Se1 0.243 0.500 0.249
Se2 0.246 0.330 0.749
```



# 2
Density functional theory data (GGA-PBE) for a geometry-optimized Pr4Sm3PuSe8 structure.

Properties
For the raw formation energy, the calculation gives -1.803 eV/atom. For the density of states at the Fermi level, the calculation gives 44.7 states/eV/cell.

CIF file:
```
data_Pr4Sm3PuSe8
_space_group_name_H-M_alt 'R -3 m'
_space_group_IT_number 166
_space_group_name_Hall '-R 3 2"'
_cell_length_a 8.4167
_cell_length_b 8.4167
_cell_length_c 20.7332
_cell_angle_alpha 90.00
_cell_angle_beta 90.00
_cell_angle_gamma 120.00
loop_
_atom_site_label
_atom_site_fract_x
_atom_site_fract_y
_atom_site_fract_z
Pr1 0.0000 0.0000 0.0000
Pr2 0.0000 0.5000 0.0000
Sm1 0.0000 0.5000 0.5000
Pu1 0.0000 0.0000 0.5000
Se1 0.0000 0.0000 0.2473
Se2 0.0016 0.5008 0.2470
```